Density functional theory data (PBEsol) for a geometry-optimized VSi2O6 structure.

**Density of states at the Fermi level**: 17.49 states/eV per cell
**Formation energy without anion corrections**: -2.58 eV per atom
**Polymorph energy (0 for the lowest one)**: 0 meV/atom

Cell lengths 9.506, 8.641, 5.319 Å; angles 90.00, 110.08, 90.00 degrees
Space group C2/c (No. 15)
Symmetry-distinct sites (fractional):
V 0.000 0.101 0.250 (multiplicity 4)
Si 0.201 0.415 0.254 (multiplicity 8)
O 0.113 0.069 0.630 (multiplicity 8)
O 0.140 0.238 0.230 (multiplicity 8)
O 0.141 0.489 0.957 (multiplicity 8)

=====

Density functional theory data (PBEsol) for a geometry-optimized VSi2O6 structure.

**Density of states at the Fermi level**: 37.41 states/eV per cell
**Formation energy without anion corrections**: -2.58 eV per atom
**Polymorph energy (0 for the lowest one)**: 6 meV/atom

Cell lengths 5.294, 17.779, 8.655 Å; angles 90.00, 90.00, 90.00 degrees
Space group Pbca (No. 61)
Symmetry-distinct sites (fractional):
V 0.108 0.126 0.149 (multiplicity 8)
Si 0.055 0.725 0.664 (multiplicity 8)
Si 0.207 0.024 0.836 (multiplicity 8)
O 0.016 0.694 0.488 (multiplicity 8)
O 0.042 0.555 0.752 (multiplicity 8)
O 0.074 0.682 0.178 (multiplicity 8)
O 0.182 0.195 0.735 (multiplicity 8)
O 0.204 0.569 0.317 (multiplicity 8)
O 0.210 0.055 0.012 (multiplicity 8)

=====

Density functional theory data (PBEsol) for a geometry-optimized Si2WO6 structure.

**Density of states at the Fermi level**: 0.98 states/eV per cell
**Formation energy without anion corrections**: -2.39 eV per atom

Cell lengths 9.885, 8.572, 5.107 Å; angles 90.00, 108.33, 90.00 degrees
Space group C2/c (No. 15)
Symmetry-distinct sites (fractional):
Si 0.188 0.098 0.226 (multiplicity 8)
W 0.000 0.431 0.250 (multiplicity 4)
O 0.124 0.271 0.177 (multiplicity 8)
O 0.134 0.408 0.664 (multiplicity 8)
O 0.136 0.009 0.453 (multiplicity 8)